{"formula": "TlFeSi2", "functional": "GGA-PBE", "state": "relaxed", "cell": [[8.099, -0.122, -0.072], [7.509, 3.036, -0.072], [7.509, 1.402, 2.694]], "species": ["Fe", "Tl", "Si", "Si"], "frac_coords": [[0.750, 0.750, 0.750], [0.250, 0.250, 0.250], [0.023, 0.023, 0.023], [0.477, 0.477, 0.477]], "raw_formation_energy_ev_per_atom": 0.30, "total_magnetization_mub_per_atom": 0.278, "de_polymorph_mev_per_atom": 164, "sg": "R-3m (166)"}